Density functional theory data (PBE) for a relaxed CoCuSb2 crystal.

abc: 6.599 6.599 6.599
angles: 152.85 145.31 44.60
Element x y z (fractional)
Co 0.000 0.000 0.000
Cu 0.207 0.707 0.500
Sb 0.555 0.555 0.000
Sb 0.826 0.326 0.500

Summary:
* magnetic moment: 0.0 μB per formula unit
* Fermi-level density of states: 2.8 states/eV/f.u.
* uncorrected energy: -4.701 eV/atom
* formation energy (no corrections): 0.6 eV per formula unit
* volume: 74 Å³ per cell